Entry 1:
First-principles (GGA-PBEsol) data for a geometry-optimized ErCuS2 structure, as listed in Alexandria.

## Properties
Total energy in eV/atom: -5.920
Formation energy from raw total energies in eV per atom: -1.4128

Lattice parameters (Å, degrees): 3.8623 6.1393 13.1241 90.00 90.00 90.00
Closest atoms and distances in Å follow each position.
Atoms (fractional coordinates):
Cu 0.2506 0.8793 0.9574  4 S 2.27-2.35
Er 0.7510 0.2453 0.8677  6 S 2.61-2.75
S 0.7490 0.5058 0.7052  1 Cu 2.27
Cu 0.7506 0.6207 0.0426  4 S 2.27-2.35
S 0.7509 0.0020 0.0422  3 Cu 2.34-2.35
S 0.2509 0.4980 0.9578  3 Cu 2.34-2.35
S 0.2490 0.9942 0.2948  1 Cu 2.27
Cu 0.2494 0.1207 0.4574  4 S 2.27-2.35
Er 0.2490 0.7453 0.6323  6 S 2.61-2.75
Er 0.7490 0.7547 0.3677  6 S 2.61-2.75
S 0.2510 0.0058 0.7948  1 Cu 2.27
S 0.7491 0.9980 0.5422  3 Cu 2.34-2.35
S 0.7510 0.4942 0.2052  1 Cu 2.27
S 0.2491 0.5020 0.4578  3 Cu 2.34-2.35
Cu 0.7494 0.3793 0.5426  4 S 2.27-2.35
Er 0.2510 0.2547 0.1323  6 S 2.61-2.75

---

Entry 2:
First-principles (GGA-PBEsol) data for a geometry-optimized BaZrRu3 structure, as listed in Alexandria.

## Properties
Total energy in eV/atom: -6.008
Calculated formation energy in eV/atom: 2.343

Lattice parameters (Å, degrees): 4.8104 4.8104 4.8104 90.00 90.00 90.00
Closest atoms and distances in Å follow each position.
Atoms (fractional coordinates):
Ru 0.0000 0.0000 0.5000  2 Ba 2.41
Zr 0.5000 0.5000 0.5000  12 Ru 3.40
Ba 0.0000 0.0000 0.0000  6 Ru 2.41
Ru 0.0000 0.5000 0.0000  2 Ba 2.41
Ru 0.5000 0.0000 0.0000  2 Ba 2.41

---

Entry 3:
First-principles (GGA-PBEsol) data for a geometry-optimized ReNiTe2 structure, as listed in Alexandria.

## Properties
Total energy in eV/atom: -5.779
Formation energy from raw total energies in eV per atom: 0.8568
Offset from the most stable computed form in eV per atom: 0.732

Lattice parameters (Å, degrees): 3.1339 3.1339 8.3139 90.00 90.00 115.99
Closest atoms and distances in Å follow each position.
Atoms (fractional coordinates):
Te 0.0000 0.0000 0.7397  2 Ni 2.59, 2 Re 2.73
Te 0.0000 0.0000 0.2603  2 Ni 2.59, 2 Re 2.73
Ni 0.5000 0.5000 0.5000  4 Te 2.59
Re 0.5000 0.5000 0.0000  4 Te 2.73

---

Entry 4:
First-principles (GGA-PBEsol) data for a geometry-optimized TaI2Br structure, as listed in Alexandria.

## Properties
Total energy in eV/atom: -4.555
Formation energy from raw total energies in eV per atom: -0.0658

Lattice parameters (Å, degrees): 5.1107 7.5526 7.5526 83.43 70.22 70.22
Closest atoms and distances in Å follow each position.
Atoms (fractional coordinates):
I 0.8750 0.1412 0.3588  2 Ta 2.81
I 0.9838 0.6412 0.1412  2 Ta 2.81
Ta 0.0000 0.0000 0.0000  2 Br 2.56, 4 I 2.81
I 0.7662 0.3588 0.8588  2 Ta 2.81
I 0.3750 0.8588 0.6412  2 Ta 2.81
Br 0.5000 0.0000 0.0000  2 Ta 2.56
Ta 0.7500 0.5000 0.5000  2 Br 2.56, 4 I 2.81
Br 0.2500 0.5000 0.5000  2 Ta 2.56

---

Entry 5:
First-principles (GGA-PBEsol) data for a geometry-optimized CdIn2Sb structure, as listed in Alexandria.

## Properties
Total energy in eV/atom: -2.872
Formation energy from raw total energies in eV per atom: 0.0585

Lattice parameters (Å, degrees): 3.4823 5.5149 5.6468 103.82 107.96 90.00
Closest atoms and distances in Å follow each position.
Atoms (fractional coordinates):
In 0.0046 0.0034 0.0092  3 Cd 3.16-3.34, 4 Sb 3.22-3.30, 5 In 3.24-3.48
Sb 0.4959 0.4908 0.9918  3 Cd 3.17-3.32, 7 In 3.22-3.33, 2 Sb 3.48
Cd 0.7498 0.2487 0.4995  7 In 3.16-3.34, 3 Sb 3.17-3.32, 2 Cd 3.48
In 0.2497 0.7571 0.4995  4 Cd 3.22-3.30, 5 In 3.24-3.48, 3 Sb 3.26-3.33

---

Entry 6:
First-principles (GGA-PBEsol) data for a geometry-optimized Fe4ReRu structure, as listed in Alexandria.

## Properties
Total energy in eV/atom: -9.884
Calculated formation energy in eV/atom: 0.009

Lattice parameters (Å, degrees): 4.5885 4.5885 4.5885 60.00 60.00 60.00
Closest atoms and distances in Å follow each position.
Atoms (fractional coordinates):
Fe 0.8772 0.3743 0.3743  6 Fe 2.28-2.31
Fe 0.3743 0.3743 0.3743  6 Fe 2.28-2.31
Fe 0.3743 0.3743 0.8772  6 Fe 2.28-2.31
Fe 0.3743 0.8772 0.3743  6 Fe 2.28-2.31
Re 0.7500 0.7500 0.7500  12 Fe 2.69, 4 Ru 2.81
Ru 0.0000 0.0000 0.0000  12 Fe 2.69, 4 Re 2.81

---

Entry 7:
First-principles (GGA-PBEsol) data for a geometry-optimized NiPt2Se2 structure, as listed in Alexandria.

## Properties
Total energy in eV/atom: -5.097
Formation energy from raw total energies in eV per atom: 0.4600

Lattice parameters (Å, degrees): 3.6750 3.6750 6.9839 105.25 105.25 90.00
Closest atoms and distances in Å follow each position.
Atoms (fractional coordinates):
Pt 0.7500 0.2500 0.5000  4 Pt 2.60, 4 Se 2.64
Pt 0.2500 0.7500 0.5000  4 Pt 2.60, 4 Se 2.64
Se 0.3960 0.3960 0.7921  4 Pt 2.64, 1 Se 2.70, 4 Ni 2.93
Se 0.6040 0.6040 0.2079  4 Pt 2.64, 1 Se 2.70, 4 Ni 2.93
Ni 0.0000 0.0000 0.0000  8 Se 2.93

---

Entry 8:
First-principles (GGA-PBEsol) data for a geometry-optimized AgPt2 structure, as listed in Alexandria.

## Properties
Total energy in eV/atom: -5.717
Offset from the most stable computed form in eV per atom: 0.032
Calculated formation energy in eV/atom: 0.029

Lattice parameters (Å, degrees): 2.7554 8.3360 8.5418 109.93 90.00 90.00
Closest atoms and distances in Å follow each position.
Atoms (fractional coordinates):
Ag 0.5000 0.8366 0.9985  5 Ag 2.72-2.79, 7 Pt 2.81-2.87
Ag 0.0000 0.5856 0.7488  4 Ag 2.76-2.79, 8 Pt 2.78-2.84
Pt 0.0000 0.2530 0.7518  9 Pt 2.76-2.81, 3 Ag 2.78-2.84
Pt 0.5000 0.5000 0.0000  6 Pt 2.76-2.77, 6 Ag 2.81-2.84
Pt 0.5000 0.6677 0.4991  8 Pt 2.75-2.81, 4 Ag 2.79-2.81
Ag 0.0000 0.4144 0.2512  4 Ag 2.76-2.79, 8 Pt 2.78-2.84
Pt 0.0000 0.7470 0.2482  9 Pt 2.76-2.81, 3 Ag 2.78-2.84
Pt 0.5000 0.3323 0.5009  8 Pt 2.75-2.81, 4 Ag 2.79-2.81
Pt 0.0000 0.9179 0.7406  7 Pt 2.75-2.76, 5 Ag 2.79-2.87
Pt 0.5000 0.0000 0.5000  12 Pt 2.75-2.81
Ag 0.5000 0.1634 0.0015  5 Ag 2.72-2.79, 7 Pt 2.81-2.87
Pt 0.0000 0.0821 0.2594  7 Pt 2.75-2.76, 5 Ag 2.79-2.87

---

Entry 9:
First-principles (GGA-PBEsol) data for a geometry-optimized BeCdHg2 structure, as listed in Alexandria.

## Properties
Total energy in eV/atom: -1.234
Offset from the most stable computed form in eV per atom: 0.198
Calculated formation energy in eV/atom: 0.349

Lattice parameters (Å, degrees): 3.9068 4.3575 4.3575 90.00 90.00 90.00
Closest atoms and distances in Å follow each position.
Atoms (fractional coordinates):
Hg 0.0000 0.5000 0.0000  4 Be 2.93, 4 Cd 2.93, 4 Hg 3.08
Cd 0.5000 0.0000 0.0000  8 Hg 2.93, 4 Be 3.08
Hg 0.0000 0.0000 0.5000  4 Be 2.93, 4 Cd 2.93, 4 Hg 3.08
Be 0.5000 0.5000 0.5000  8 Hg 2.93, 4 Cd 3.08

---

Entry 10:
First-principles (GGA-PBEsol) data for a geometry-optimized LaAgPt4 structure, as listed in Alexandria.

## Properties
Total energy in eV/atom: -6.777
Calculated formation energy in eV/atom: -0.692

Lattice parameters (Å, degrees): 5.3453 5.3453 5.3453 60.00 60.00 60.00
Closest atoms and distances in Å follow each position.
Atoms (fractional coordinates):
Pt 0.3757 0.3757 0.3757  6 Pt 2.66-2.69
La 0.0000 0.0000 0.0000  12 Pt 3.14, 4 Ag 3.27
Ag 0.7500 0.7500 0.7500  12 Pt 3.13, 4 La 3.27
Pt 0.8729 0.3757 0.3757  6 Pt 2.66-2.69
Pt 0.3757 0.8729 0.3757  6 Pt 2.66-2.69
Pt 0.3757 0.3757 0.8729  6 Pt 2.66-2.69

---

Entry 11:
First-principles (GGA-PBEsol) data for a geometry-optimized RbSb3Mo structure, as listed in Alexandria.

## Properties
Total energy in eV/atom: -3.026
Formation energy from raw total energies in eV per atom: 2.2667
Offset from the most stable computed form in eV per atom: 2.074

Lattice parameters (Å, degrees): 5.6853 5.6853 5.6853 90.00 90.00 90.00
Closest atoms and distances in Å follow each position.
Atoms (fractional coordinates):
Mo 0.5000 0.5000 0.5000  12 Sb 4.02
Sb 0.5000 0.0000 0.0000  2 Rb 2.84
Rb 0.0000 0.0000 0.0000  6 Sb 2.84
Sb 0.0000 0.5000 0.0000  2 Rb 2.84
Sb 0.0000 0.0000 0.5000  2 Rb 2.84

---

Entry 12:
First-principles (GGA-PBEsol) data for a geometry-optimized NiP2Se structure, as listed in Alexandria.

## Properties
Total energy in eV/atom: -5.407
Formation energy from raw total energies in eV per atom: -0.0098

Lattice parameters (Å, degrees): 4.2243 4.2243 4.2243 108.85 108.85 110.73
Closest atoms and distances in Å follow each position.
Atoms (fractional coordinates):
Se 0.0000 0.0000 0.0000  2 Ni 2.40, 4 P 2.46
P 0.0000 0.5000 0.5000  2 P 2.40, 2 Ni 2.46, 2 Se 2.46
Ni 0.5000 0.5000 0.0000  2 Se 2.40, 4 P 2.46
P 0.5000 0.0000 0.5000  2 P 2.40, 2 Se 2.46, 2 Ni 2.46

---

Entry 13:
First-principles (GGA-PBEsol) data for a geometry-optimized Cr2FeAg structure, as listed in Alexandria.

## Properties
Total energy in eV/atom: -7.740
Offset from the most stable computed form in eV per atom: 0.064
Calculated formation energy in eV/atom: 0.449

Lattice parameters (Å, degrees): 2.5683 2.5683 8.7507 81.56 81.56 60.00
Closest atoms and distances in Å follow each position.
Atoms (fractional coordinates):
Ag 0.2480 0.2480 0.2561  6 Ag 2.57, 3 Fe 2.77, 3 Cr 2.81
Fe 0.4910 0.4910 0.5269  3 Cr 2.34, 6 Fe 2.57
Cr 0.7543 0.7543 0.7371  3 Fe 2.34, 9 Cr 2.57
Cr 0.0067 0.0067 0.9799  9 Cr 2.57, 3 Ag 2.81

---

Entry 14:
First-principles (GGA-PBEsol) data for a geometry-optimized NaLiCaP2 structure, as listed in Alexandria.

## Properties
Total energy in eV/atom: -3.334
Calculated formation energy in eV/atom: 0.083

Lattice parameters (Å, degrees): 4.2880 4.9703 4.9703 90.00 90.00 90.00
Closest atoms and distances in Å follow each position.
Atoms (fractional coordinates):
Li 0.5000 0.0000 0.0000  2 Na 2.14
Na 0.0000 0.0000 0.0000  2 Li 2.14
P 0.0000 0.0000 0.5000  2 Na 2.49
P 0.0000 0.5000 0.0000  2 Na 2.49
Ca 0.5000 0.5000 0.5000  8 P 3.28, 4 Li 3.51